No. 1
The following is a GGA-PBEsol calculation of NaAl3Si3H2O12 after structural relaxation, from Alexandria via LeMat-Bulk.

SG = P2/c
E_tot = -621.82 eV per cell
DOS(E_F) = 0.00 states/eV per atom
Total moment = 0.00 μB/f.u.

a b c (Å): 5.134 8.899 19.325
angles (deg): 90.00 93.32 90.00
Fractional coordinates of all 84 atoms:
Na: 0.000 0.075 0.250
Na: 0.000 0.925 0.750
Na: 0.500 0.377 0.750
Na: 0.500 0.623 0.250
Al: 0.053 0.240 0.859
Al: 0.053 0.760 0.359
Al: 0.247 0.084 0.999
Al: 0.247 0.916 0.499
Al: 0.251 0.415 0.999
Al: 0.251 0.585 0.499
Al: 0.749 0.415 0.501
Al: 0.749 0.585 0.001
Al: 0.753 0.084 0.501
Al: 0.753 0.916 0.001
Al: 0.947 0.240 0.641
Al: 0.947 0.760 0.141
Si: 0.063 0.430 0.359
Si: 0.063 0.570 0.859
Si: 0.427 0.257 0.140
Si: 0.427 0.743 0.640
Si: 0.465 0.070 0.642
Si: 0.465 0.930 0.142
Si: 0.535 0.070 0.858
Si: 0.535 0.930 0.358
Si: 0.573 0.257 0.360
Si: 0.573 0.743 0.860
Si: 0.937 0.430 0.141
Si: 0.937 0.570 0.641
H: 0.147 0.160 0.442
H: 0.147 0.840 0.942
H: 0.373 0.357 0.575
H: 0.373 0.643 0.075
H: 0.627 0.357 0.925
H: 0.627 0.643 0.425
H: 0.853 0.160 0.058
H: 0.853 0.840 0.558
O: 0.046 0.442 0.443
O: 0.046 0.558 0.943
O: 0.053 0.066 0.449
O: 0.053 0.934 0.949
O: 0.126 0.249 0.948
O: 0.126 0.751 0.448
O: 0.138 0.414 0.823
O: 0.138 0.586 0.323
O: 0.226 0.374 0.174
O: 0.226 0.626 0.674
O: 0.245 0.100 0.823
O: 0.245 0.900 0.323
O: 0.270 0.299 0.337
O: 0.270 0.701 0.837
O: 0.278 0.207 0.663
O: 0.278 0.793 0.163
O: 0.364 0.092 0.173
O: 0.364 0.908 0.673
O: 0.385 0.251 0.056
O: 0.385 0.749 0.556
O: 0.449 0.442 0.552
O: 0.449 0.558 0.052
O: 0.458 0.052 0.557
O: 0.458 0.948 0.057
O: 0.542 0.052 0.943
O: 0.542 0.948 0.443
O: 0.551 0.442 0.948
O: 0.551 0.558 0.448
O: 0.615 0.251 0.444
O: 0.615 0.749 0.944
O: 0.636 0.092 0.327
O: 0.636 0.908 0.827
O: 0.722 0.207 0.837
O: 0.722 0.793 0.337
O: 0.730 0.299 0.163
O: 0.730 0.701 0.663
O: 0.755 0.100 0.677
O: 0.755 0.900 0.177
O: 0.774 0.374 0.326
O: 0.774 0.626 0.826
O: 0.862 0.414 0.677
O: 0.862 0.586 0.177
O: 0.874 0.249 0.552
O: 0.874 0.751 0.052
O: 0.947 0.066 0.051
O: 0.947 0.934 0.551
O: 0.954 0.442 0.057
O: 0.954 0.558 0.557

---

No. 2
The following is a GGA-PBEsol calculation of Na2AlSi3HO9 after structural relaxation, from Alexandria via LeMat-Bulk.

SG = P-1
E_tot = -231.22 eV per cell
DOS(E_F) = 0.00 states/eV per atom
Total moment = 0.00 μB/f.u.

a b c (Å): 7.216 7.269 8.674
angles (deg): 80.44 79.28 64.48
Fractional coordinates of all 32 atoms:
Na: 0.114 0.221 0.056
Na: 0.265 0.412 0.441
Na: 0.735 0.588 0.559
Na: 0.886 0.779 0.944
Al: 0.453 0.806 0.855
Al: 0.547 0.194 0.145
Si: 0.083 0.096 0.695
Si: 0.307 0.945 0.363
Si: 0.391 0.403 0.812
Si: 0.609 0.597 0.188
Si: 0.693 0.055 0.637
Si: 0.917 0.904 0.305
H: 0.084 0.426 0.744
H: 0.916 0.574 0.256
O: 0.026 0.336 0.650
O: 0.125 0.954 0.270
O: 0.139 0.496 0.819
O: 0.201 0.001 0.851
O: 0.232 0.959 0.550
O: 0.364 0.134 0.283
O: 0.461 0.236 0.963
O: 0.474 0.580 0.794
O: 0.495 0.279 0.650
O: 0.505 0.721 0.350
O: 0.526 0.420 0.206
O: 0.539 0.764 0.037
O: 0.636 0.866 0.717
O: 0.768 0.041 0.450
O: 0.799 0.999 0.149
O: 0.861 0.504 0.181
O: 0.875 0.046 0.730
O: 0.974 0.664 0.350

---

No. 3
The following is a GGA-PBEsol calculation of NbAl3H after structural relaxation, from Alexandria via LeMat-Bulk.

SG = Pm-3m
E_tot = -19.40 eV per cell
DOS(E_F) = 1.24 states/eV per atom
Total moment = 1.31 μB/f.u.

a b c (Å): 5.056 5.056 5.056
angles (deg): 90.00 90.00 90.00
Fractional coordinates of all 5 atoms:
Nb: 0.000 0.000 0.000
Al: 0.000 0.000 0.500
Al: 0.000 0.500 0.000
Al: 0.500 0.000 0.000
H: 0.500 0.500 0.500

---

No. 4
The following is a GGA-PBEsol calculation of Nb2AlH2 after structural relaxation, from Alexandria via LeMat-Bulk.

SG = I4/mmm
E_tot = -67.08 eV per cell
DOS(E_F) = 0.61 states/eV per atom
Total moment = 0.00 μB/f.u.

a b c (Å): 3.522 3.522 9.103
angles (deg): 90.00 90.00 90.00
Fractional coordinates of all 10 atoms:
Nb: 0.000 0.000 0.162
Nb: 0.000 0.000 0.838
Nb: 0.500 0.500 0.338
Nb: 0.500 0.500 0.662
Al: 0.000 0.000 0.500
Al: 0.500 0.500 0.000
H: 0.000 0.500 0.250
H: 0.000 0.500 0.750
H: 0.500 0.000 0.250
H: 0.500 0.000 0.750

---

No. 5
The following is a GGA-PBEsol calculation of NbAl2HPt after structural relaxation, from Alexandria via LeMat-Bulk.

SG = P4/mmm
E_tot = -31.10 eV per cell
DOS(E_F) = 0.43 states/eV per atom
Total moment = 0.00 μB/f.u.

a b c (Å): 4.175 4.175 3.660
angles (deg): 90.00 90.00 90.00
Fractional coordinates of all 5 atoms:
Nb: 0.000 0.000 0.000
Al: 0.000 0.500 0.500
Al: 0.500 0.000 0.500
H: 0.500 0.500 0.500
Pt: 0.500 0.500 0.000

---

No. 6
The following is a GGA-PBEsol calculation of NbAl2TcH after structural relaxation, from Alexandria via LeMat-Bulk.

SG = P4/mmm
E_tot = -28.23 eV per cell
DOS(E_F) = 0.70 states/eV per atom
Total moment = 0.00 μB/f.u.

a b c (Å): 4.733 4.733 4.690
angles (deg): 90.00 90.00 90.00
Fractional coordinates of all 5 atoms:
Nb: 0.000 0.000 0.000
Al: 0.000 0.500 0.500
Al: 0.500 0.000 0.500
Tc: 0.000 0.000 0.500
H: 0.500 0.500 0.000

---

Look up the DOS(E_F) of the first one. 0.00 states/eV per atom

---

What is the formula in the fourth record? Nb2AlH2